[1]
DFT (GGA-PBE) results for TaSeBr2 after structural relaxation.

POSCAR file:
```
TaSeBr2
1.0
3.175 0.000 0.000
0.000 3.175 0.000
0.000 0.000 9.816
Ta Se Br
1 1 2
direct
0.000 0.000 0.000
0.500 0.500 0.849
0.000 0.000 0.512
0.500 0.500 0.177
```

Calculated values
M_tot in μB/f.u.: 0.1
Space-group type: P4mm
Total energy in eV per atom: -4.980
Uncorrected formation energy in eV/f.u.: -1.2
DOS at the Fermi energy in states/eV/f.u.: 2.081

***

[2]
DFT (GGA-PBE) results for BeAgAs2I after structural relaxation.

POSCAR file:
```
BeAgAs2I
1.0
5.464 0.000 0.000
0.000 5.464 0.000
0.000 0.000 5.221
Be Ag As I
1 1 2 1
direct
0.000 0.000 0.000
0.500 0.500 0.000
0.000 0.500 0.500
0.500 0.000 0.500
0.500 0.500 0.500
```

Calculated values
M_tot in μB/f.u.: 0.0
Space-group type: P4/mmm
Total energy in eV per atom: -1.889
Uncorrected formation energy in eV/f.u.: 8.0
DOS at the Fermi energy in states/eV/f.u.: 4.568

***

[3]
DFT (GGA-PBE) results for SrEuRh4 after structural relaxation.

POSCAR file:
```
SrEuRh4
1.0
0.000 3.853 3.853
3.853 0.000 3.853
3.853 3.853 0.000
Sr Eu Rh
1 1 4
direct
0.000 0.000 0.000
0.250 0.250 0.250
0.125 0.625 0.625
0.625 0.125 0.625
0.625 0.625 0.125
0.625 0.625 0.625
```

Calculated values
M_tot in μB/f.u.: 6.2
Space-group type: F-43m
Total energy in eV per atom: -7.251
DOS at the Fermi energy in states/eV/f.u.: 14.953

***

[4]
DFT (GGA-PBE) results for PmZnCuSn after structural relaxation.

POSCAR file:
```
PmZnCuSn
1.0
0.000 3.447 3.447
3.447 0.000 3.447
3.447 3.447 0.000
Pm Zn Cu Sn
1 1 1 1
direct
0.000 0.000 0.000
0.250 0.250 0.250
0.750 0.750 0.750
0.500 0.500 0.500
```

Calculated values
M_tot in μB/f.u.: 0.0
Space-group type: F-43m
Total energy in eV per atom: -3.838
DOS at the Fermi energy in states/eV/f.u.: 1.650

***

[5]
DFT (GGA-PBE) results for Pm3Nd7Tl after structural relaxation.

POSCAR file:
```
Pm3Nd7Tl
1.0
7.162 0.000 0.000
-3.581 6.202 0.000
0.000 0.000 8.747
Pm Nd Tl
3 7 1
direct
0.167 0.334 0.000
0.167 0.833 0.000
0.666 0.833 0.000
0.004 0.502 0.333
0.329 0.165 0.659
0.333 0.667 0.670
0.498 0.502 0.333
0.498 0.996 0.333
0.835 0.165 0.659
0.835 0.671 0.659
0.000 0.000 0.326
```

Calculated values
M_tot in μB/f.u.: 0.0
Space-group type: P3m1
Total energy in eV per atom: -4.430
DOS at the Fermi energy in states/eV/f.u.: 16.454

***

[6]
DFT (GGA-PBE) results for La2Dy4Tm7 after structural relaxation.

POSCAR file:
```
La2Dy4Tm7
1.0
6.030 0.000 0.000
-3.015 5.222 0.000
0.000 0.000 13.379
La Dy Tm
2 4 7
direct
0.333 0.667 0.000
0.667 0.333 0.000
0.000 0.000 0.395
0.000 0.000 0.605
0.333 0.667 0.500
0.667 0.333 0.500
0.000 0.000 0.000
0.000 0.349 0.785
0.000 0.651 0.215
0.349 0.000 0.785
0.349 0.349 0.215
0.651 0.000 0.215
0.651 0.651 0.785
```

Calculated values
M_tot in μB/f.u.: 0.0
Space-group type: P-31m
Total energy in eV per atom: -4.385
DOS at the Fermi energy in states/eV/f.u.: 19.385

***

[7]
DFT (GGA-PBE) results for BeZnCl2 after structural relaxation.

POSCAR file:
```
BeZnCl2
1.0
-1.528 3.619 5.174
1.528 -3.619 5.174
1.528 3.619 -5.174
Be Zn Cl
1 1 2
direct
0.000 0.000 0.000
0.500 0.500 0.000
0.141 0.641 0.500
0.859 0.359 0.500
```

Calculated values
M_tot in μB/f.u.: 0.0
Space-group type: Immm
Total energy in eV per atom: -2.738
Uncorrected formation energy in eV/f.u.: -2.3
DOS at the Fermi energy in states/eV/f.u.: 0.042

***

[8]
DFT (GGA-PBE) results for Ba3HoIn4 after structural relaxation.

POSCAR file:
```
Ba3HoIn4
1.0
4.076 0.000 0.000
0.000 4.076 0.000
0.000 0.000 17.048
Ba Ho In
3 1 4
direct
0.000 0.000 0.000
0.000 0.000 0.265
0.000 0.000 0.735
0.000 0.000 0.500
0.500 0.500 0.130
0.500 0.500 0.405
0.500 0.500 0.595
0.500 0.500 0.870
```

Calculated values
M_tot in μB/f.u.: 0.0
Space-group type: P4/mmm
Total energy in eV per atom: -3.050
DOS at the Fermi energy in states/eV/f.u.: 7.198

***

[9]
DFT (GGA-PBE) results for BaAgP after structural relaxation.

POSCAR file:
```
BaAgP
1.0
4.569 0.000 0.000
-1.729 4.373 0.000
-0.652 -2.367 9.228
Ba Ag P
2 2 2
direct
0.000 0.000 0.000
0.435 0.903 0.356
0.168 0.587 0.674
0.570 0.222 0.738
0.702 0.440 0.166
0.986 0.021 0.644
```

Calculated values
M_tot in μB/f.u.: 0.0
Space-group type: P1
Total energy in eV per atom: -3.927
DOS at the Fermi energy in states/eV/f.u.: 0.000

***

[10]
DFT (GGA-PBE) results for K2Cu2PbI6 after structural relaxation.

POSCAR file:
```
K2Cu2PbI6
1.0
7.225 -4.262 0.000
7.225 4.262 0.000
-4.376 0.000 7.394
K Cu Pb I
2 2 1 6
direct
0.237 0.237 0.204
0.763 0.763 0.796
0.460 0.460 0.808
0.540 0.540 0.192
0.000 0.000 0.500
0.188 0.682 0.175
0.254 0.254 0.627
0.318 0.812 0.825
0.682 0.188 0.175
0.746 0.746 0.373
0.812 0.318 0.825
```

Calculated values
M_tot in μB/f.u.: 0.0
Space-group type: C2/m
Total energy in eV per atom: -2.842
Uncorrected formation energy in eV/f.u.: -7.9

***

[11]
DFT (GGA-PBE) results for Li2YSc after structural relaxation.

POSCAR file:
```
Li2YSc
1.0
-2.167 2.167 5.098
2.167 -2.167 5.098
2.167 2.167 -5.098
Li Y Sc
2 1 1
direct
0.000 0.000 0.000
0.750 0.250 0.500
0.500 0.500 0.000
0.250 0.750 0.500
```

Calculated values
M_tot in μB/f.u.: 0.0
Space-group type: I-4m2
Total energy in eV per atom: -3.895
DOS at the Fermi energy in states/eV/f.u.: 4.724

***

[12]
DFT (GGA-PBE) results for Sm2H2SI after structural relaxation.

POSCAR file:
```
Sm2H2SI
1.0
3.917 0.000 0.000
-1.959 3.393 0.000
0.000 0.000 8.653
Sm H S I
2 2 1 1
direct
0.333 0.667 0.200
0.667 0.333 0.800
0.333 0.667 0.761
0.667 0.333 0.239
0.000 0.000 0.000
0.000 0.000 0.500
```

Calculated values
M_tot in μB/f.u.: 0.0
Space-group type: P-3m1
Total energy in eV per atom: -4.832
DOS at the Fermi energy in states/eV/f.u.: 2.053